## CaIn6Hg5 (PBE-GGA)

Data for an optimized crystal structure of CaIn6Hg5.

Cell and atoms, written as extended XYZ:
```
12
Lattice="5.599 0.000 1.170 2.799 4.963 0.585 0.236 0.000 11.404" Properties=species:S:1:pos:R:3 pbc="T T T"
Ca 0.000 0.000 0.000
Hg 2.918 3.336 6.287
Hg 2.799 1.683 0.585
Hg 2.918 0.000 6.287
Hg 5.599 3.281 1.170
Hg 5.717 1.628 6.871
In 4.217 1.687 3.829
In 1.618 1.687 8.744
In 4.335 0.000 9.437
In 1.500 0.000 3.137
In 7.016 3.277 4.414
In 4.417 3.277 9.329
```

final energy: -21.15 eV for the cell shown
energy of formation from the pure elements: -101 meV/atom
calculated density: 9.115 g/cm3